1.
This record from Alexandria via LeMat-Bulk describes MgTl2Cd after structural relaxation. The functional is GGA-PBE.

Cell and atoms, written as CIF:
```
data_MgTl2Cd
_cell_length_a 11.749
_cell_length_b 3.576
_cell_length_c 5.272
_cell_angle_alpha 90.00
_cell_angle_beta 108.23
_cell_angle_gamma 90.00
_space_group_name_H-M_alt 'C 1 m 1'
_space_group_IT_number 8
loop_
_space_group_symop_operation_xyz
'x,y,z'
'x,-y,z'
'x+1/2,y+1/2,z'
'x+1/2,-y+1/2,z'
loop_
_atom_site_label
_atom_site_type_symbol
_atom_site_fract_x
_atom_site_fract_y
_atom_site_fract_z
_atom_site_occupancy
Mg1 Mg 0.000 0.000 0.000 1
Tl1 Tl 0.250 0.000 0.822 1
Tl2 Tl 0.481 0.000 0.490 1
Cd1 Cd 0.224 0.500 0.303 1
```

Calculated values
ΔE_f   1 kJ per mole of atoms
Total magnetization   0.00 μB/f.u.

=====

2.
This record from Alexandria via LeMat-Bulk describes CsAcTl6 after structural relaxation. The functional is GGA-PBE.

Cell and atoms, written as CIF:
```
data_CsAcTl6
_cell_length_a 5.559
_cell_length_b 7.694
_cell_length_c 6.539
_cell_angle_alpha 90.00
_cell_angle_beta 90.00
_cell_angle_gamma 90.00
_space_group_name_H-M_alt 'P m m 2'
_space_group_IT_number 25
loop_
_space_group_symop_operation_xyz
'x,y,z'
'-x,-y,z'
'-x,y,z'
'x,-y,z'
loop_
_atom_site_label
_atom_site_type_symbol
_atom_site_fract_x
_atom_site_fract_y
_atom_site_fract_z
_atom_site_occupancy
Cs1 Cs 0.000 0.000 0.000 1
Ac1 Ac 0.500 0.500 0.288 1
Tl1 Tl 0.000 0.275 0.489 1
Tl2 Tl 0.000 0.500 0.936 1
Tl3 Tl 0.500 0.000 0.398 1
Tl4 Tl 0.500 0.277 0.802 1
```

Calculated values
ΔE_f   -11 kJ per mole of atoms
Total magnetization   0.00 μB/f.u.

=====

3.
This record from Alexandria via LeMat-Bulk describes Dy11Tm4Sc9 after structural relaxation. The functional is GGA-PBE.

Cell and atoms, written as CIF:
```
data_Dy11Tm4Sc9
_cell_length_a 16.034
_cell_length_b 24.350
_cell_length_c 3.534
_cell_angle_alpha 90.00
_cell_angle_beta 90.00
_cell_angle_gamma 90.00
_space_group_name_H-M_alt 'C m m m'
_space_group_IT_number 65
_space_group_name_Hall '-C 2 2'
loop_
_atom_site_label
_atom_site_type_symbol
_atom_site_fract_x
_atom_site_fract_y
_atom_site_fract_z
_atom_site_occupancy
Dy1 Dy 0.000 0.000 0.000 1
Dy2 Dy 0.000 0.160 0.000 1
Dy3 Dy 0.000 0.366 0.000 1
Dy4 Dy 0.214 0.500 0.000 1
Dy5 Dy 0.220 0.181 0.000 1
Tm1 Tm 0.157 0.399 0.500 1
Sc1 Sc 0.000 0.500 0.500 1
Sc2 Sc 0.101 0.268 0.500 1
Sc3 Sc 0.140 0.073 0.500 1
```

Calculated values
ΔE_f   9 kJ per mole of atoms
Total magnetization   0.03 μB/f.u.